## LaTbPt (GGA-PBE)

Data for a relaxed LaTbPt crystal.

a = 4.6881 Å, b = 4.6881 Å, c = 4.4429 Å
α = 90.00°, β = 90.00°, γ = 120.00°
With the nearest neighbours (Å) after each atom.
Space group P3m1 (No. 156)
Asymmetric unit:
La (0.0000, 0.0000, 0.0000) x1  3 Pt 3.09, 3 Tb 3.45
Tb (0.3333, 0.6667, 0.4824) x1  3 Pt 2.83
Pt (0.6667, 0.3333, 0.6654) x1  3 Tb 2.83, 3 La 3.09

Magnetization = 0.0 μB per formula unit
D(E_F) = 3.0 states/eV/f.u.
Energy relative to the lowest polymorph listed for this composition = 180 meV per atom
ρ = 9.7 Mg/m³